Entry from Alexandria: crystalline InRe3Sn at its relaxed geometry (PBE-GGA).

abc: 4.869 4.869 4.869
angles: 90.00 90.00 90.00
Element x y z (fractional)
1 In 0.000 0.000 0.000
2 Re 0.000 0.500 0.500
3 Re 0.500 0.000 0.500
4 Re 0.500 0.500 0.000
5 Sn 0.500 0.500 0.500

- ρ: 11.4 g/cm3
- Formation energy from the elements: 1234 kJ/mol of formula units
- DOS(E_F): 1.061 states/eV per atom
- Symmetry: Pm-3m



Entry from Alexandria: crystalline LiBeV at its relaxed geometry (PBE-GGA).

abc: 2.280 4.522 7.240
angles: 79.86 83.08 84.80
Element x y z (fractional)
1 Li 0.241 0.231 0.073
2 Li 0.759 0.769 0.927
3 Be 0.360 0.839 0.616
4 Be 0.640 0.161 0.384
5 V 0.143 0.665 0.335
6 V 0.857 0.335 0.665

- ρ: 3.1 g/cm3
- Formation energy from the elements: 53 kJ/mol of formula units
- DOS(E_F): 0.684 states/eV per atom
- Symmetry: P-1



Entry from Alexandria: crystalline Sc5Ir2 at its relaxed geometry (PBE-GGA).

abc: 7.869 7.869 6.764
angles: 96.19 96.19 45.90
Element x y z (fractional)
1 Sc 0.069 0.931 0.750
2 Sc 0.164 0.282 0.315
3 Sc 0.279 0.541 0.077
4 Sc 0.282 0.164 0.815
5 Sc 0.459 0.721 0.423
6 Sc 0.541 0.279 0.577
7 Sc 0.718 0.836 0.185
8 Sc 0.721 0.459 0.923
9 Sc 0.836 0.718 0.685
10 Sc 0.931 0.069 0.250
11 Ir 0.112 0.668 0.432
12 Ir 0.332 0.888 0.068
13 Ir 0.668 0.112 0.932
14 Ir 0.888 0.332 0.568

- ρ: 6.8 g/cm3
- Formation energy from the elements: -465 kJ/mol of formula units
- DOS(E_F): 1.020 states/eV per atom
- Symmetry: C2/c



Entry from Alexandria: crystalline TlNi2Pb2 at its relaxed geometry (PBE-GGA).

abc: 9.672 9.672 9.672
angles: 158.94 158.94 29.95
Element x y z (fractional)
1 Tl 0.000 0.000 0.000
2 Ni 0.250 0.750 0.500
3 Ni 0.750 0.250 0.500
4 Pb 0.360 0.360 0.000
5 Pb 0.640 0.640 0.000

- ρ: 10.5 g/cm3
- Formation energy from the elements: 82 kJ/mol of formula units
- DOS(E_F): 0.805 states/eV per atom
- Symmetry: I4/mmm



Entry from Alexandria: crystalline InCu2Pt at its relaxed geometry (PBE-GGA).

abc: 3.316 3.316 5.621
angles: 90.00 90.00 90.00
Element x y z (fractional)
1 In 0.000 0.000 0.000
2 Cu 0.500 0.500 0.269
3 Cu 0.500 0.500 0.731
4 Pt 0.000 0.000 0.500

- ρ: 11.7 g/cm3
- Formation energy from the elements: -32 kJ/mol of formula units
- DOS(E_F): 0.363 states/eV per atom
- Symmetry: P4/mmm



Entry from Alexandria: crystalline Bi2O3 at its relaxed geometry (PBE-GGA).

abc: 11.399 11.399 11.399
angles: 90.00 90.00 90.00
Element x y z (fractional)
1 Bi 0.008 0.241 0.976
2 Bi 0.008 0.259 0.476
3 Bi 0.024 0.508 0.259
4 Bi 0.024 0.992 0.759
5 Bi 0.241 0.524 0.508
6 Bi 0.241 0.976 0.008
7 Bi 0.245 0.245 0.245
8 Bi 0.245 0.255 0.745
9 Bi 0.255 0.745 0.245
10 Bi 0.255 0.755 0.745
11 Bi 0.259 0.024 0.508
12 Bi 0.259 0.476 0.008
13 Bi 0.476 0.008 0.259
14 Bi 0.476 0.492 0.759
15 Bi 0.492 0.741 0.976
16 Bi 0.492 0.759 0.476
17 Bi 0.508 0.241 0.524
18 Bi 0.508 0.259 0.024
19 Bi 0.524 0.508 0.241
20 Bi 0.524 0.992 0.741
21 Bi 0.741 0.524 0.992
22 Bi 0.741 0.976 0.492
23 Bi 0.745 0.245 0.255
24 Bi 0.745 0.255 0.755
25 Bi 0.755 0.745 0.255
26 Bi 0.755 0.755 0.755
27 Bi 0.759 0.024 0.992
28 Bi 0.759 0.476 0.492
29 Bi 0.976 0.008 0.241
30 Bi 0.976 0.492 0.741
31 Bi 0.992 0.741 0.524
32 Bi 0.992 0.759 0.024
33 O 0.089 0.635 0.383
34 O 0.089 0.865 0.883
35 O 0.104 0.136 0.320
36 O 0.104 0.364 0.820
37 O 0.117 0.589 0.635
38 O 0.117 0.911 0.135
39 O 0.135 0.117 0.911
40 O 0.135 0.383 0.411
41 O 0.136 0.180 0.604
42 O 0.136 0.320 0.104
43 O 0.180 0.604 0.136
44 O 0.180 0.896 0.636
45 O 0.320 0.104 0.136
46 O 0.320 0.396 0.636
47 O 0.364 0.680 0.604
48 O 0.364 0.820 0.104
49 O 0.365 0.617 0.911
50 O 0.365 0.883 0.411
51 O 0.383 0.089 0.635
52 O 0.383 0.411 0.135
53 O 0.396 0.636 0.320
54 O 0.396 0.864 0.820
55 O 0.411 0.135 0.383
56 O 0.411 0.365 0.883
57 O 0.589 0.635 0.117
58 O 0.589 0.865 0.617
59 O 0.604 0.136 0.180
60 O 0.604 0.364 0.680
61 O 0.617 0.589 0.865
62 O 0.617 0.911 0.365
63 O 0.635 0.117 0.589
64 O 0.635 0.383 0.089
65 O 0.636 0.180 0.896
66 O 0.636 0.320 0.396
67 O 0.680 0.604 0.364
68 O 0.680 0.896 0.864
69 O 0.820 0.104 0.364
70 O 0.820 0.396 0.864
71 O 0.864 0.680 0.896
72 O 0.864 0.820 0.396
73 O 0.865 0.617 0.589
74 O 0.865 0.883 0.089
75 O 0.883 0.089 0.865
76 O 0.883 0.411 0.365
77 O 0.896 0.636 0.180
78 O 0.896 0.864 0.680
79 O 0.911 0.135 0.117
80 O 0.911 0.365 0.617

- ρ: 8.4 g/cm3
- Formation energy (no corrections): -1.20 eV/atom
- DOS(E_F): 0.000 states/eV per atom
- Symmetry: Pa-3